1.
Compound: CsCu2Si2
Source: the Alexandria database
Functional: PBE
Structure: optimized geometry

Properties
- DFT total energy: -0.1396 Ha/atom
- N(E_F): 0.216 states/eV/atom
- Formation energy without anion corrections: 17 kJ per mole of atoms
- Polymorph energy (0 for the lowest one): 0.048 eV per atom

Unit cell a=4.2953 b=4.2953 c=13.4312 alpha=90.00 beta=90.00 gamma=90.00
Space group I4/mmm (No. 139)
Symmetry-distinct sites (fractional):
Cs1 0.0000 0.0000 0.0000
Cu1 0.0000 0.0000 0.3228
Si1 0.0000 0.5000 0.2500


2.
Compound: Rb3NaPb2Cl9
Source: the Alexandria database
Functional: PBE
Structure: optimized geometry

Properties
- DFT total energy: -0.1234 Ha/atom
- N(E_F): 0.328 states/eV/atom
- Formation energy without anion corrections: -142 kJ per mole of atoms

Unit cell a=7.8176 b=7.8176 c=9.6326 alpha=90.00 beta=90.00 gamma=120.00
Space group P-3m1 (No. 164)
Symmetry-distinct sites (fractional):
Rb1 0.0000 0.0000 0.0000
Rb2 0.3333 0.6667 0.6332
Na1 0.0000 0.0000 0.5000
Pb1 0.3333 0.6667 0.1739
Cl1 0.0000 0.5000 0.0000
Cl2 0.1692 0.3384 0.3381


3.
Compound: MgTcAu3
Source: the Alexandria database
Functional: PBE
Structure: optimized geometry

Properties
- DFT total energy: -0.1230 Ha/atom
- N(E_F): 0.611 states/eV/atom
- Polymorph energy (0 for the lowest one): 0.150 eV per atom
- DFT formation energy: 1.0111 eV per atom

Unit cell a=4.8239 b=4.8239 c=4.8239 alpha=90.00 beta=90.00 gamma=90.00
Space group Pm-3m (No. 221)
Symmetry-distinct sites (fractional):
Mg1 0.0000 0.0000 0.0000
Tc1 0.5000 0.5000 0.5000
Au1 0.0000 0.0000 0.5000


4.
Compound: Si2GeBO
Source: the Alexandria database
Functional: PBE
Structure: optimized geometry

Properties
- DFT total energy: -0.1717 Ha/atom
- N(E_F): 0.441 states/eV/atom
- Formation energy without anion corrections: 72 kJ per mole of atoms

Unit cell a=4.0947 b=4.0947 c=4.0362 alpha=90.00 beta=90.00 gamma=90.00
Space group P4/mmm (No. 123)
Symmetry-distinct sites (fractional):
Si1 0.0000 0.5000 0.0000
Ge1 0.0000 0.0000 0.5000
B1 0.5000 0.5000 0.5000
O1 0.5000 0.5000 0.0000


5.
Compound: Zr2B2Pd
Source: the Alexandria database
Functional: PBE
Structure: optimized geometry

Properties
- DFT total energy: -0.2863 Ha/atom
- N(E_F): 0.457 states/eV/atom
- DFT formation energy: -0.6620 eV per atom

Unit cell a=6.3527 b=6.3527 c=3.4429 alpha=90.00 beta=90.00 gamma=90.00
Space group P4/mbm (No. 127)
Symmetry-distinct sites (fractional):
Zr1 0.1809 0.3191 0.0000
B1 0.0967 0.5967 0.5000
Pd1 0.0000 0.0000 0.5000


6.
Compound: MgZr4Zn
Source: the Alexandria database
Functional: PBE
Structure: optimized geometry

Properties
- DFT total energy: -0.2147 Ha/atom
- N(E_F): 0.884 states/eV/atom
- Polymorph energy (0 for the lowest one): 0.417 eV per atom
- DFT formation energy: 0.3334 eV per atom

Unit cell a=8.1759 b=8.1759 c=8.1759 alpha=90.00 beta=90.00 gamma=90.00
Space group F-43m (No. 216)
Symmetry-distinct sites (fractional):
Mg1 0.0000 0.0000 0.0000
Zr1 0.1252 0.1252 0.3748
Zn1 0.2500 0.2500 0.7500